1.
The following is a DFT calculation (GGA-PBE) of an optimized crystal structure of RbNaP2O.

```
data_RbNaP2O
_chemical_formula_sum 'Rb1 Na1 P2 O1'
_cell_length_a 6.370
_cell_length_b 6.370
_cell_length_c 4.918
_cell_angle_alpha 90.00
_cell_angle_beta 90.00
_cell_angle_gamma 90.00
_space_group_name_H-M_alt 'P 4/m m m'
_space_group_IT_number 123
_space_group_name_Hall '-P 4 2'
loop_
_atom_site_label
_atom_site_fract_x
_atom_site_fract_y
_atom_site_fract_z
Rb1 0.000 0.000 0.000
Na1 0.500 0.500 0.500
P1 0.000 0.500 0.000
O1 0.000 0.000 0.500
```

***

2.
The following is a DFT calculation (GGA-PBE) of an optimized crystal structure of NaRePO2.

```
data_NaRePO2
_chemical_formula_sum 'Na1 Re1 P1 O2'
_cell_length_a 3.869
_cell_length_b 3.869
_cell_length_c 5.094
_cell_angle_alpha 90.00
_cell_angle_beta 90.00
_cell_angle_gamma 90.00
_space_group_name_H-M_alt 'P 4/m m m'
_space_group_IT_number 123
_space_group_name_Hall '-P 4 2'
loop_
_atom_site_label
_atom_site_fract_x
_atom_site_fract_y
_atom_site_fract_z
Na1 0.000 0.000 0.000
Re1 0.500 0.500 0.500
P1 0.000 0.000 0.500
O1 0.000 0.500 0.000
```

***

3.
The following is a DFT calculation (GGA-PBE) of an optimized crystal structure of NaRePO2.

```
data_NaRePO2
_chemical_formula_sum 'Na1 Re1 P1 O2'
_cell_length_a 3.866
_cell_length_b 3.866
_cell_length_c 4.878
_cell_angle_alpha 90.00
_cell_angle_beta 90.00
_cell_angle_gamma 90.00
_space_group_name_H-M_alt 'P 4/m m m'
_space_group_IT_number 123
_space_group_name_Hall '-P 4 2'
loop_
_atom_site_label
_atom_site_fract_x
_atom_site_fract_y
_atom_site_fract_z
Na1 0.000 0.000 0.000
Re1 0.500 0.500 0.500
P1 0.500 0.500 0.000
O1 0.000 0.500 0.500
```

***

| no. | E above lowest polymorph (meV/atom) | VASP energy (eV for the cell shown) | uncorrected formation energy (kcal/mol of atoms) |
| --- | --- | --- | --- |
| 1 | 360 | -12.6 | 25.4 |
| 2 | 2188 | -22.6 | 30.0 |
| 3 | 0 | -33.5 | -20.4 |